(1)
First-principles (GGA-PBE) data for a relaxed Rb12As3O5 crystal, as listed in Alexandria via LeMat-Bulk.

Values from the calculation:
Total energy = -242.4 eV for the cell shown
N(E_F) = 1.411 states/eV per atom
ΔE_f (raw) = -10.259 eV per formula unit
Crystal system = cubic
Symmetry = No. 230
M_tot = 28.01 Bohr magnetons per cell

Unit cell a=15.784 b=15.784 c=15.784 alpha=109.47 beta=109.47 gamma=109.47
Positions (direct):
Rb  0.016  0.195  0.112
Rb  0.016  0.321  0.904
Rb  0.083  0.695  0.679
Rb  0.083  0.888  0.404
Rb  0.096  0.612  0.417
Rb  0.096  0.984  0.679
Rb  0.112  0.016  0.195
Rb  0.112  0.596  0.917
Rb  0.179  0.195  0.583
Rb  0.179  0.484  0.596
Rb  0.195  0.112  0.016
Rb  0.195  0.583  0.179
Rb  0.305  0.321  0.917
Rb  0.305  0.484  0.388
Rb  0.321  0.904  0.016
Rb  0.321  0.917  0.305
Rb  0.388  0.305  0.484
Rb  0.388  0.583  0.904
Rb  0.404  0.083  0.888
Rb  0.404  0.821  0.516
Rb  0.417  0.096  0.612
Rb  0.417  0.821  0.805
Rb  0.484  0.388  0.305
Rb  0.484  0.596  0.179
Rb  0.516  0.404  0.821
Rb  0.516  0.612  0.695
Rb  0.583  0.179  0.195
Rb  0.583  0.904  0.388
Rb  0.596  0.179  0.484
Rb  0.596  0.917  0.112
Rb  0.612  0.417  0.096
Rb  0.612  0.695  0.516
Rb  0.679  0.083  0.695
Rb  0.679  0.096  0.984
Rb  0.695  0.516  0.612
Rb  0.695  0.679  0.083
Rb  0.805  0.417  0.821
Rb  0.805  0.888  0.984
Rb  0.821  0.516  0.404
Rb  0.821  0.805  0.417
Rb  0.888  0.404  0.083
Rb  0.888  0.984  0.805
Rb  0.904  0.016  0.321
Rb  0.904  0.388  0.583
Rb  0.917  0.112  0.596
Rb  0.917  0.305  0.321
Rb  0.984  0.679  0.096
Rb  0.984  0.805  0.888
As  0.125  0.250  0.375
As  0.125  0.375  0.750
As  0.250  0.375  0.125
As  0.250  0.875  0.625
As  0.375  0.125  0.250
As  0.375  0.750  0.125
As  0.625  0.250  0.875
As  0.625  0.875  0.750
As  0.750  0.125  0.375
As  0.750  0.625  0.875
As  0.875  0.625  0.250
As  0.875  0.750  0.625
O  0.000  0.000  0.000
O  0.000  0.000  0.500
O  0.000  0.500  0.000
O  0.000  0.500  0.500
O  0.125  0.750  0.875
O  0.125  0.875  0.250
O  0.250  0.125  0.875
O  0.250  0.625  0.375
O  0.375  0.250  0.625
O  0.375  0.625  0.750
O  0.500  0.000  0.000
O  0.500  0.000  0.500
O  0.500  0.500  0.000
O  0.500  0.500  0.500
O  0.625  0.375  0.250
O  0.625  0.750  0.375
O  0.750  0.375  0.625
O  0.750  0.875  0.125
O  0.875  0.125  0.750
O  0.875  0.250  0.125

(2)
First-principles (GGA-PBE) data for a relaxed Rb2AsO crystal, as listed in Alexandria via LeMat-Bulk.

Values from the calculation:
Total energy = -11.5 eV for the cell shown
N(E_F) = 0.060 states/eV per atom
ΔE_f (raw) = 0.034 eV per formula unit
ΔE to the lowest computed polymorph = 2.31 eV per formula unit
Crystal system = cubic
Symmetry = No. 225
M_tot = 3.00 Bohr magnetons per cell

Unit cell a=5.604 b=5.604 c=5.604 alpha=60.00 beta=60.00 gamma=60.00
Positions (direct):
Rb  0.250  0.250  0.250
Rb  0.750  0.750  0.750
As  0.000  0.000  0.000
O  0.500  0.500  0.500

(3)
First-principles (GGA-PBE) data for a relaxed Rb3AsO3 crystal, as listed in Alexandria via LeMat-Bulk.

Values from the calculation:
Total energy = -61.1 eV for the cell shown
N(E_F) = 0.512 states/eV per atom
ΔE_f (raw) = -8.145 eV per formula unit
Crystal system = orthorhombic
Symmetry = No. 63
M_tot = 0.01 Bohr magnetons per cell

Unit cell a=8.597 b=8.597 c=5.913 alpha=90.00 beta=90.00 gamma=119.94
Positions (direct):
Rb  0.176  0.824  0.750
Rb  0.177  0.353  0.750
Rb  0.353  0.177  0.250
Rb  0.647  0.823  0.750
Rb  0.823  0.647  0.250
Rb  0.824  0.176  0.250
As  0.333  0.667  0.250
As  0.667  0.333  0.750
O  0.208  0.792  0.250
O  0.209  0.417  0.250
O  0.417  0.209  0.750
O  0.583  0.791  0.250
O  0.791  0.583  0.750
O  0.792  0.208  0.750

(4)
First-principles (GGA-PBE) data for a relaxed Rb2AsO3 crystal, as listed in Alexandria via LeMat-Bulk.

Values from the calculation:
Total energy = -58.5 eV for the cell shown
N(E_F) = 0.356 states/eV per atom
ΔE_f (raw) = -7.768 eV per formula unit
ΔE to the lowest computed polymorph = 0.23 eV per formula unit
Crystal system = orthorhombic
Symmetry = No. 69
M_tot = 0.00 Bohr magnetons per cell

Unit cell a=9.379 b=7.803 c=7.602 alpha=74.99 beta=53.48 gamma=51.53
Positions (direct):
Rb  0.231  0.769  0.769
Rb  0.250  0.250  0.250
Rb  0.750  0.750  0.750
Rb  0.769  0.231  0.231
As  0.233  0.233  0.767
As  0.767  0.767  0.233
O  0.051  0.275  0.725
O  0.275  0.051  0.949
O  0.362  0.362  0.638
O  0.638  0.638  0.362
O  0.725  0.949  0.051
O  0.949  0.725  0.275

(5)
First-principles (GGA-PBE) data for a relaxed RbAsRhO6 crystal, as listed in Alexandria via LeMat-Bulk.

Values from the calculation:
Total energy = -51.5 eV for the cell shown
N(E_F) = 0.626 states/eV per atom
ΔE_f (raw) = -8.755 eV per formula unit
Crystal system = trigonal
Symmetry = No. 149
M_tot = 1.31 Bohr magnetons per cell

Unit cell a=5.108 b=5.108 c=6.431 alpha=90.00 beta=90.00 gamma=120.00
Positions (direct):
Rb  0.000  0.000  0.000
As  0.667  0.333  0.500
Rh  0.333  0.667  0.500
O  0.399  0.012  0.669
O  0.399  0.387  0.331
O  0.613  0.012  0.331
O  0.613  0.601  0.669
O  0.988  0.387  0.669
O  0.988  0.601  0.331

(6)
First-principles (GGA-PBE) data for a relaxed RbAs2RuO8 crystal, as listed in Alexandria via LeMat-Bulk.

Values from the calculation:
Total energy = -73.2 eV for the cell shown
N(E_F) = 0.117 states/eV per atom
ΔE_f (raw) = -13.994 eV per formula unit
Crystal system = trigonal
Symmetry = No. 147
M_tot = 3.03 Bohr magnetons per cell

Unit cell a=5.034 b=5.034 c=9.163 alpha=90.00 beta=90.00 gamma=120.00
Positions (direct):
Rb  0.000  0.000  0.000
As  0.333  0.667  0.693
As  0.667  0.333  0.307
Ru  0.000  0.000  0.500
O  0.023  0.326  0.627
O  0.303  0.977  0.627
O  0.326  0.303  0.373
O  0.333  0.667  0.875
O  0.667  0.333  0.125
O  0.674  0.697  0.627
O  0.697  0.023  0.373
O  0.977  0.674  0.373

(7)
First-principles (GGA-PBE) data for a relaxed RbAsRuO6 crystal, as listed in Alexandria via LeMat-Bulk.

Values from the calculation:
Total energy = -55.1 eV for the cell shown
N(E_F) = 0.006 states/eV per atom
ΔE_f (raw) = -10.418 eV per formula unit
Crystal system = trigonal
Symmetry = No. 149
M_tot = 0.00 Bohr magnetons per cell

Unit cell a=5.162 b=5.162 c=6.283 alpha=90.00 beta=90.00 gamma=120.00
Positions (direct):
Rb  0.000  0.000  0.000
As  0.667  0.333  0.500
Ru  0.333  0.667  0.500
O  0.427  0.006  0.679
O  0.427  0.422  0.321
O  0.578  0.006  0.321
O  0.578  0.573  0.679
O  0.994  0.422  0.679
O  0.994  0.573  0.321

(8)
First-principles (GGA-PBE) data for a relaxed Rb2AsSO6 crystal, as listed in Alexandria via LeMat-Bulk.

Values from the calculation:
Total energy = -49.7 eV for the cell shown
N(E_F) = 0.255 states/eV per atom
ΔE_f (raw) = -9.283 eV per formula unit
Crystal system = monoclinic
Symmetry = No. 12
M_tot = 0.00 Bohr magnetons per cell

Unit cell a=6.303 b=6.303 c=5.509 alpha=111.83 beta=111.83 gamma=109.38
Positions (direct):
Rb  0.239  0.761  0.000
Rb  0.761  0.239  0.000
As  0.500  0.500  0.500
S  0.000  0.000  0.500
O  0.187  0.187  0.406
O  0.221  0.221  0.866
O  0.333  0.667  0.500
O  0.667  0.333  0.500
O  0.779  0.779  0.134
O  0.813  0.813  0.594